GGA-PBE NdGe2Mo, relaxed; theoretical density = 7.49 Mg/m³; crystal system = trigonal; ΔE_f = -1.01 eV per formula unit; space-group type = R-3m
1.0
-2.157 2.868 1.582
-3.880 -0.438 0.364
-1.176 -1.767 6.463
Mo Ge Nd
1 2 1
Cartesian
0.000 0.000 0.000
-5.368 0.369 6.595
-1.845 0.294 1.814
-3.606 0.331 4.204